TlPb8Br9O4 after structural relaxation, computed with PBE.

Lattice parameters (Å, degrees): 8.397 12.637 12.637 90.00 90.00 90.00
Fractional positions:
Pb 0.175 0.413 0.730
Pb 0.354 0.635 0.557
Pb 0.825 0.730 0.587
Pb 0.175 0.587 0.270
Pb 0.825 0.270 0.413
Pb 0.175 0.230 0.087
Pb 0.646 0.443 0.635
Pb 0.646 0.865 0.943
Pb 0.646 0.557 0.365
Pb 0.175 0.770 0.913
Pb 0.825 0.913 0.230
Pb 0.825 0.087 0.770
Pb 0.354 0.365 0.443
Pb 0.354 0.057 0.865
Pb 0.646 0.135 0.057
Pb 0.354 0.943 0.135
Br 0.117 0.885 0.711
Br 0.000 0.500 0.500
Br 0.000 0.000 0.000
Br 0.883 0.615 0.789
Br 0.883 0.385 0.211
Br 0.117 0.211 0.615
Br 0.395 0.683 0.118
Br 0.117 0.789 0.385
Br 0.883 0.289 0.885
Br 0.395 0.618 0.817
Br 0.117 0.115 0.289
Br 0.605 0.183 0.618
Br 0.605 0.118 0.317
Br 0.605 0.882 0.683
Br 0.883 0.711 0.115
Br 0.395 0.382 0.183
Br 0.395 0.317 0.882
Br 0.605 0.817 0.382
Tl 0.343 0.000 0.500
Tl 0.657 0.500 0.000
O 0.628 0.608 0.547
O 0.372 0.547 0.392
O 0.372 0.108 0.047
O 0.372 0.453 0.608
O 0.372 0.892 0.953
O 0.628 0.392 0.453
O 0.628 0.953 0.108
O 0.628 0.047 0.892



UPb3Br2O6 after structural relaxation, computed with PBE.

Lattice parameters (Å, degrees): 5.428 6.532 7.538 115.68 80.02 90.00
Fractional positions:
Br 0.912 0.307 0.614
Br 0.088 0.693 0.386
O 0.283 0.195 0.891
O 0.283 0.696 0.891
O 0.717 0.805 0.109
O 0.328 0.140 0.280
O 0.672 0.860 0.720
O 0.717 0.304 0.109
Pb 0.000 0.500 0.000
Pb 0.500 0.500 0.500
Pb 0.500 0.000 0.500
U 0.500 0.000 0.000



YPb2BrO4 after structural relaxation, computed with PBE.

Lattice parameters (Å, degrees): 3.997 3.997 9.194 90.00 90.00 90.00
Fractional positions:
Br 0.000 0.000 0.500
O 0.500 0.000 0.143
O 0.500 0.000 0.857
O 0.000 0.500 0.857
O 0.000 0.500 0.143
Pb 0.500 0.500 0.736
Pb 0.500 0.500 0.264
Y 0.000 0.000 0.000



ZnPb2Br2O2 after structural relaxation, computed with PBE.

Lattice parameters (Å, degrees): 4.149 4.149 9.485 102.63 102.63 90.00
Fractional positions:
Zn 0.000 0.000 0.000
O 0.500 0.000 0.000
O 0.000 0.500 0.000
Br 0.166 0.166 0.332
Br 0.834 0.834 0.668
Pb 0.407 0.407 0.815
Pb 0.593 0.593 0.185



PdBrO2 after structural relaxation, computed with PBE.

Lattice parameters (Å, degrees): 10.917 5.499 7.710 90.00 136.58 90.00
Fractional positions:
O 0.554 0.301 0.980
O 0.315 0.864 0.879
O 0.054 0.199 0.480
O 0.685 0.136 0.121
O 0.446 0.699 0.020
O 0.815 0.636 0.379
O 0.946 0.801 0.520
O 0.185 0.364 0.621
Br 0.627 0.214 0.469
Br 0.373 0.786 0.531
Br 0.127 0.286 0.969
Br 0.873 0.714 0.031
Pd 0.627 0.709 0.002
Pd 0.373 0.291 0.998
Pd 0.873 0.209 0.498
Pd 0.127 0.791 0.502



PdBr3O after structural relaxation, computed with PBE.

Lattice parameters (Å, degrees): 4.740 4.740 4.740 90.00 90.00 90.00
Fractional positions:
Br 0.000 0.000 0.500
Br 0.500 0.000 0.000
Br 0.000 0.500 0.000
Pd 0.500 0.500 0.500
O 0.000 0.000 0.000



PdBrO2 after structural relaxation, computed with PBE.

Lattice parameters (Å, degrees): 4.109 4.109 4.109 60.00 60.00 60.00
Fractional positions:
O 0.250 0.250 0.250
O 0.750 0.750 0.750
Br 0.000 0.000 0.000
Pd 0.500 0.500 0.500



PdBrO2 after structural relaxation, computed with PBE.

Lattice parameters (Å, degrees): 7.523 7.523 6.125 52.11 52.11 90.00
Fractional positions:
O 0.386 0.114 0.000
O 0.614 0.886 0.000
O 0.886 0.386 0.000
O 0.114 0.614 0.000
Pd 0.250 0.750 0.500
Pd 0.750 0.250 0.500
Br 0.750 0.750 0.500
Br 0.250 0.250 0.500



no.,formation energy without anion corrections (eV/atom)
1,-1.037
2,-1.456
3,-1.661
4,-1.042
5,-0.165
6,0.751
7,0.929
8,0.440